Entry 1
A relaxed structure of Ti3SnPt, computed with PBE.

Unit cell a=4.7446 b=5.5583 c=7.8504 alpha=89.09 beta=90.00 gamma=115.26
Fractional coordinates of all 10 atoms:
Ti  0.3272  0.6544  0.2332
Ti  0.8672  0.7344  0.4615
Ti  0.6728  0.3456  0.7668
Ti  0.1328  0.2656  0.5385
Ti  0.9567  0.9133  0.8194
Ti  0.0433  0.0867  0.1806
Sn  0.6030  0.2060  0.3490
Sn  0.3970  0.7940  0.6510
Pt  0.8026  0.6053  0.0856
Pt  0.1974  0.3947  0.9144

Output
Space group: C2/m, No. 12
Total magnetic moment (Bohr magnetons per cell): 0.00
V (Å³/cell): 187


Entry 2
A relaxed structure of Ti3SnPt, computed with PBE.

Unit cell a=4.8037 b=4.8037 c=4.8037 alpha=90.00 beta=90.00 gamma=90.00
Fractional coordinates of all 5 atoms:
Ti  0.0000  0.0000  0.5000
Ti  0.0000  0.5000  0.0000
Ti  0.5000  0.0000  0.0000
Sn  0.5000  0.5000  0.5000
Pt  0.0000  0.0000  0.0000

Output
Space group: Pm-3m, No. 221
Total magnetic moment (Bohr magnetons per cell): 0.00
V (Å³/cell): 111


In eV/atom, relative to the most stable structure: entry 1 0.000; entry 2 0.417.


Entry 1
A relaxed structure of Ti6SnPt, computed with PBE.

Unit cell a=4.6518 b=5.6762 c=5.6762 alpha=113.26 beta=90.00 gamma=90.00
Fractional coordinates of all 8 atoms:
Ti  0.0000  0.1115  0.3935
Ti  0.5000  0.3613  0.0706
Ti  0.0000  0.6065  0.8885
Ti  0.5000  0.9294  0.6387
Ti  0.5000  0.8578  0.1422
Ti  0.0000  0.6302  0.3698
Pt  0.0000  0.0882  0.9118
Sn  0.5000  0.4147  0.5853

Output
Space group: Amm2, No. 38
Total magnetic moment (Bohr magnetons per cell): 0.00
V (Å³/cell): 138


Entry 2
A relaxed structure of Ti6SnPt, computed with PBE.

Unit cell a=6.1453 b=6.1453 c=5.2738 alpha=115.23 beta=115.23 gamma=102.30
Fractional coordinates of all 8 atoms:
Ti  0.7460  0.7460  0.2458
Ti  0.2627  0.7370  0.2498
Ti  0.2630  0.7373  0.7502
Ti  0.7370  0.2627  0.2498
Ti  0.7373  0.2630  0.7502
Ti  0.2540  0.2540  0.7542
Sn  0.0000  0.0000  0.0000
Pt  0.5000  0.5000  0.5000

Output
Space group: C2/m, No. 12
Total magnetic moment (Bohr magnetons per cell): 0.00
V (Å³/cell): 143


In eV/atom, relative to the most stable structure: entry 1 0.000; entry 2 0.251.


Entry 1
A relaxed structure of TiSn2Pt, computed with PBE.

Unit cell a=7.5958 b=7.5958 c=6.1337 alpha=51.74 beta=51.74 gamma=90.00
Fractional coordinates of all 8 atoms:
Sn  0.6504  0.1250  0.2500
Sn  0.3750  0.3496  0.7500
Sn  0.0996  0.6250  0.2500
Sn  0.8750  0.9004  0.7500
Ti  0.5000  0.5000  0.0000
Ti  0.2500  0.7500  0.5000
Pt  0.7500  0.2500  0.5000
Pt  0.0000  0.0000  0.0000

Output
Space group: I-42d, No. 122
Total magnetic moment (Bohr magnetons per cell): 0.00
V (Å³/cell): 171


Entry 2
A relaxed structure of TiSn2Pt, computed with PBE.

Unit cell a=4.7941 b=4.7941 c=4.7941 alpha=60.00 beta=60.00 gamma=60.00
Fractional coordinates of all 4 atoms:
Ti  0.0000  0.0000  0.0000
Sn  0.2500  0.2500  0.2500
Sn  0.7500  0.7500  0.7500
Pt  0.5000  0.5000  0.5000

Output
Space group: Fm-3m, No. 225
Total magnetic moment (Bohr magnetons per cell): 1.85
V (Å³/cell): 78


In eV/atom, relative to the most stable structure: entry 1 0.062; entry 2 0.000.


Entry 1
A relaxed structure of TiSnPt3, computed with PBE.

Unit cell a=4.8814 b=4.8814 c=4.8814 alpha=90.00 beta=90.00 gamma=90.00
Fractional coordinates of all 5 atoms:
Sn  0.0000  0.0000  0.0000
Pt  0.0000  0.0000  0.5000
Pt  0.5000  0.0000  0.0000
Pt  0.0000  0.5000  0.0000
Ti  0.5000  0.5000  0.5000

Output
Space group: Pm-3m, No. 221
Total magnetic moment (Bohr magnetons per cell): 0.00
V (Å³/cell): 116


Entry 2
A relaxed structure of TiSnPt3, computed with PBE.

Unit cell a=4.7683 b=4.7683 c=4.7683 alpha=90.00 beta=90.00 gamma=90.00
Fractional coordinates of all 5 atoms:
Ti  0.0000  0.0000  0.0000
Pt  0.5000  0.0000  0.0000
Pt  0.0000  0.5000  0.0000
Pt  0.0000  0.0000  0.5000
Sn  0.5000  0.5000  0.5000

Output
Space group: Pm-3m, No. 221
Total magnetic moment (Bohr magnetons per cell): 0.00
V (Å³/cell): 108


In eV/atom, relative to the most stable structure: entry 1 0.520; entry 2 0.000.